VASP calculation (GGA-PBE) on a relaxed structure of ZrCl3.

Lattice parameters (Å, degrees): 5.3492 5.3492 5.3492 115.55 115.55 115.55
Fractional positions:
Zr  0.0000  0.0000  0.0000
Cl  0.0000  0.5000  0.5000
Cl  0.5000  0.0000  0.5000
Cl  0.5000  0.5000  0.0000

Values from the calculation:
Its energy relative to the elements, uncorrected is -0.590 eV/atom. The calculated volume is 81.2 Å³ per cell. For the raw total energy, the calculation gives -4.11 eV per atom.